VASP calculation (PBE+U) on a relaxed structure of Ba2WO6.

Output
Crystal system: tetragonal
Magnetization (μB/f.u.): 2.0
DFT total energy (eV per atom): -6.58

Cell: 5.609 5.609 11.238 Å, 90.00 90.00 90.00°
Element x y z (fractional)
Ba (0.000, 0.000, 0.167)
Ba (0.000, 0.000, 0.833)
Ba (0.500, 0.500, 0.333)
Ba (0.500, 0.500, 0.667)
W (0.000, 0.000, 0.500)
W (0.500, 0.500, 0.000)
O (0.170, 0.170, 0.374)
O (0.170, 0.170, 0.626)
O (0.245, 0.755, 0.500)
O (0.255, 0.255, 0.000)
O (0.330, 0.670, 0.126)
O (0.330, 0.670, 0.874)
O (0.670, 0.330, 0.126)
O (0.670, 0.330, 0.874)
O (0.745, 0.745, 0.000)
O (0.755, 0.245, 0.500)
O (0.830, 0.830, 0.374)
O (0.830, 0.830, 0.626)